Record 1
## Ta2MoIr (GGA-PBE)

Data for a relaxed Ta2MoIr crystal.

## Properties
Total DFT energy (no corrections) (eV per atom): -11.058
V (Å³/cell): 67
Energy relative to the elements (meV per atom): -208
Total magnetic moment (Bohr magnetons per cell): 0.00

POSCAR file:
```
Ta2MoIr
1.0
-5.0019 0.7250 -1.1872
-2.9376 -4.2196 0.7208
3.1508 3.3102 2.4635
Ir Mo Ta
1 1 2
Direct
0.2500 0.7500 0.5000
0.7500 0.2500 0.5000
0.9984 0.9984 0.0000
0.5016 0.5016 0.0000
```



Record 2
## TaMoIr2 (GGA-PBE)

Data for a relaxed TaMoIr2 crystal.

## Properties
Total DFT energy (no corrections) (eV per atom): -10.372
V (Å³/cell): 64
Energy relative to the elements (meV per atom): -270
Total magnetic moment (Bohr magnetons per cell): 0.00

POSCAR file:
```
TaMoIr2
1.0
-2.7154 0.9317 -0.0569
-0.5291 -1.3257 3.5454
1.7020 5.0921 2.1580
Ir Mo Ta
2 1 1
Direct
0.0000 0.0000 0.9923
0.5000 0.5000 0.2708
0.0000 0.0000 0.4713
0.5000 0.5000 0.7657
```



Record 3
## Ta2MoIr (GGA-PBE)

Data for a relaxed Ta2MoIr crystal.

## Properties
Total DFT energy (no corrections) (eV per atom): -11.077
V (Å³/cell): 66
Energy relative to the elements (meV per atom): -228
Total magnetic moment (Bohr magnetons per cell): 0.00

POSCAR file:
```
Ta2MoIr
1.0
-0.0282 4.4712 1.0411
-2.7340 0.1316 -0.6393
-2.1975 -1.0941 4.6390
Ir Mo Ta
1 1 2
Direct
0.0000 0.4988 0.4869
0.5000 0.7598 0.7662
0.0000 0.9917 0.9881
0.5000 0.2497 0.2588
```



Record 4
## TaMo2Ir2 (GGA-PBE)

Data for a relaxed TaMo2Ir2 crystal.

## Properties
Total DFT energy (no corrections) (eV per atom): -10.310
V (Å³/cell): 162
Energy relative to the elements (meV per atom): -63
Total magnetic moment (Bohr magnetons per cell): 0.00

POSCAR file:
```
TaMo2Ir2
1.0
7.6297 0.0000 0.0000
0.0000 7.6297 0.0000
0.0000 0.0000 2.7893
Mo Ir Ta
4 4 2
Direct
0.3782 0.8782 0.0000
0.8782 0.6218 0.0000
0.6218 0.1218 0.0000
0.1218 0.3782 0.0000
0.1738 0.6738 0.5000
0.6738 0.8262 0.5000
0.8262 0.3262 0.5000
0.3262 0.1738 0.5000
0.0000 0.0000 0.0000
0.5000 0.5000 0.0000
```



Record 5
## TaMoIr2 (GGA-PBE)

Data for a relaxed TaMoIr2 crystal.

## Properties
Total DFT energy (no corrections) (eV per atom): -10.269
V (Å³/cell): 63
Energy relative to the elements (meV per atom): -168
Total magnetic moment (Bohr magnetons per cell): 0.00

POSCAR file:
```
TaMoIr2
1.0
9.2833 -0.0121 -0.0071
8.8614 2.7669 -0.0071
8.8614 1.3454 2.4178
Ir Mo Ta
2 1 1
Direct
0.9980 0.9980 0.9980
0.5020 0.5020 0.5020
0.2500 0.2500 0.2500
0.7500 0.7500 0.7500
```



Record 6
## Ta2MoIr (GGA-PBE)

Data for a relaxed Ta2MoIr crystal.

## Properties
Total DFT energy (no corrections) (eV per atom): -11.020
V (Å³/cell): 67
Energy relative to the elements (meV per atom): -170
Total magnetic moment (Bohr magnetons per cell): 0.00

POSCAR file:
```
Ta2MoIr
1.0
-3.5873 3.4378 -1.7245
-3.9481 1.2042 3.2594
5.2463 -0.2613 0.2627
Ir Mo Ta
1 1 2
Direct
0.5000 0.5000 0.0000
0.7500 0.2500 0.5000
0.0000 0.0000 0.0000
0.2500 0.7500 0.5000
```



Record 7
## TaMoIr2 (GGA-PBE)

Data for a relaxed TaMoIr2 crystal.

## Properties
Total DFT energy (no corrections) (eV per atom): -10.556
V (Å³/cell): 62
Energy relative to the elements (meV per atom): -455
Total magnetic moment (Bohr magnetons per cell): 0.00

POSCAR file:
```
TaMoIr2
1.0
2.8274 0.0000 0.0000
0.0000 3.9041 0.0000
0.0000 0.0000 5.6374
Mo Ir Ta
1 2 1
Direct
0.5000 0.5000 0.0000
0.0000 0.0000 0.7556
0.0000 0.0000 0.2444
0.5000 0.5000 0.5000
```



Record 8
## TaMo3Ir (GGA-PBE)

Data for a relaxed TaMo3Ir crystal.

## Properties
Total DFT energy (no corrections) (eV per atom): -8.598
V (Å³/cell): 101
Energy relative to the elements (meV per atom): 2043
Total magnetic moment (Bohr magnetons per cell): 0.00

POSCAR file:
```
TaMo3Ir
1.0
4.6603 0.0000 0.0000
0.0000 4.6603 0.0000
0.0000 0.0000 4.6603
Mo Ir Ta
3 1 1
Direct
0.0000 0.5000 0.0000
0.0000 0.0000 0.5000
0.5000 0.0000 0.0000
0.5000 0.5000 0.5000
0.0000 0.0000 0.0000
```



Record 9
## TaMoIr (GGA-PBE)

Data for a relaxed TaMoIr crystal.

## Properties
Total DFT energy (no corrections) (eV per atom): -10.755
V (Å³/cell): 48
Energy relative to the elements (meV per atom): -240
Total magnetic moment (Bohr magnetons per cell): 0.00

POSCAR file:
```
TaMoIr
1.0
6.5224 0.0342 -0.0353
5.9094 2.7589 -0.0118
0.6131 0.1099 2.7226
Ir Mo Ta
1 1 1
Direct
0.9960 0.9960 0.0040
0.3438 0.3438 0.6562
0.6602 0.6602 0.3398
```



Record 10
## TaMoIr (GGA-PBE)

Data for a relaxed TaMoIr crystal.

## Properties
Total DFT energy (no corrections) (eV per atom): -10.573
V (Å³/cell): 48
Energy relative to the elements (meV per atom): -58
Total magnetic moment (Bohr magnetons per cell): 0.00

POSCAR file:
```
TaMoIr
1.0
4.4857 0.0000 0.0000
-2.2429 3.8847 0.0000
0.0000 0.0000 2.7827
Ir Mo Ta
1 1 1
Direct
0.0000 0.0000 0.9770
0.6667 0.3333 0.3712
0.3333 0.6667 0.6518
```



Record 11
## TaMoIr2 (GGA-PBE)

Data for a relaxed TaMoIr2 crystal.

## Properties
Total DFT energy (no corrections) (eV per atom): -10.444
V (Å³/cell): 63
Energy relative to the elements (meV per atom): -342
Total magnetic moment (Bohr magnetons per cell): 0.00

POSCAR file:
```
TaMoIr2
1.0
4.8511 0.0021 -0.0035
4.0229 2.7110 -0.0035
0.7325 0.2240 4.7968
Ir Mo Ta
2 1 1
Direct
0.0038 0.0038 0.0193
0.7486 0.7486 0.7231
0.4904 0.4904 0.5346
0.2571 0.2571 0.2230
```



Record 12
## Ta2MoIr (GGA-PBE)

Data for a relaxed Ta2MoIr crystal.

## Properties
Total DFT energy (no corrections) (eV per atom): -11.244
V (Å³/cell): 66
Energy relative to the elements (meV per atom): -395
Total magnetic moment (Bohr magnetons per cell): 0.00

POSCAR file:
```
Ta2MoIr
1.0
-3.1744 0.1555 -3.2399
-0.5194 -3.5033 -2.8381
-3.6808 -2.6379 0.3010
Mo Ir Ta
1 1 2
Direct
0.2500 0.2500 0.2500
0.7500 0.7500 0.7500
0.0000 0.0000 0.0000
0.5000 0.5000 0.5000
```